Entry 1:
Entry from Alexandria via LeMat-Bulk: an optimized crystal structure of SbHRh4 (PBE).

DFT total energy in eV per atom: -6.2131

Unit cell a=3.868 b=3.944 c=5.991 alpha=70.79 beta=90.00 gamma=90.00
Sites, in units of the cell vectors:
Sb  0.501  0.524  0.029
H  0.002  0.874  0.326
Rh  0.501  0.865  0.348
Rh  0.501  0.184  0.708
Rh  0.001  0.685  0.706
Rh  0.001  0.352  0.374

---

Entry 2:
Entry from Alexandria via LeMat-Bulk: an optimized crystal structure of SbH3Rh (PBE).

Offset from the most stable computed form in eV/f.u.: 3.76

Unit cell a=3.883 b=3.883 c=3.883 alpha=90.00 beta=90.00 gamma=90.00
Last column: magnetic moment on the atom in μB.
Sites, in units of the cell vectors:
Sb  0.000  0.000  0.000  -0.01
Rh  0.500  0.500  0.500  0.75
H  0.000  0.500  0.000  0.01
H  0.000  0.000  0.500  0.03
H  0.500  0.000  0.000  0.01

---

Entry 3:
Entry from Alexandria via LeMat-Bulk: an optimized crystal structure of SbHRh3 (PBE).

Offset from the most stable computed form in eV/f.u.: 0.99

Unit cell a=10.569 b=7.325 c=7.325 alpha=81.43 beta=124.98 gamma=55.02
Sites, in units of the cell vectors:
Sb  0.069  0.501  0.335
Sb  0.431  0.835  0.001
Sb  0.931  0.499  0.665
Sb  0.569  0.165  0.999
Rh  0.417  0.389  0.470
Rh  0.083  0.970  0.889
Rh  0.583  0.611  0.530
Rh  0.917  0.030  0.111
Rh  0.094  0.215  0.158
Rh  0.406  0.658  0.715
Rh  0.906  0.785  0.842
Rh  0.594  0.342  0.285
Rh  0.566  0.885  0.787
Rh  0.934  0.287  0.385
Rh  0.434  0.115  0.213
Rh  0.066  0.713  0.615
H  0.750  0.201  0.701
H  0.250  0.799  0.299
H  0.750  0.434  0.934
H  0.250  0.566  0.066

---

Entry 4:
Entry from Alexandria via LeMat-Bulk: an optimized crystal structure of SbHRh3 (PBE).

Offset from the most stable computed form in eV/f.u.: 1.62

Unit cell a=5.361 b=5.361 c=5.361 alpha=75.49 beta=75.49 gamma=75.49
Sites, in units of the cell vectors:
Sb  0.000  0.000  0.000
Sb  0.500  0.500  0.500
Rh  0.978  0.522  0.250
Rh  0.522  0.250  0.978
Rh  0.250  0.978  0.522
Rh  0.750  0.022  0.478
Rh  0.478  0.750  0.022
Rh  0.022  0.478  0.750
H  0.250  0.250  0.250
H  0.750  0.750  0.750

---

Entry 5:
Entry from Alexandria via LeMat-Bulk: an optimized crystal structure of SbHRh3 (PBE).

Offset from the most stable computed form in eV/f.u.: 1.22

Unit cell a=5.137 b=7.328 c=7.550 alpha=90.00 beta=90.00 gamma=90.00
Sites, in units of the cell vectors:
Sb  0.000  0.000  0.500
Sb  0.500  0.500  0.000
Sb  0.500  0.000  0.000
Sb  0.000  0.500  0.500
Rh  0.061  0.930  0.834
Rh  0.439  0.430  0.334
Rh  0.439  0.070  0.334
Rh  0.939  0.430  0.166
Rh  0.939  0.070  0.166
Rh  0.561  0.570  0.666
Rh  0.561  0.930  0.666
Rh  0.061  0.570  0.834
Rh  0.273  0.250  0.679
Rh  0.227  0.750  0.179
Rh  0.727  0.750  0.321
Rh  0.773  0.250  0.821
H  0.508  0.250  0.508
H  0.992  0.750  0.008
H  0.492  0.750  0.492
H  0.008  0.250  0.992

---

Entry 6:
Entry from Alexandria via LeMat-Bulk: an optimized crystal structure of SbHRh3 (PBE).

Offset from the most stable computed form in eV/f.u.: 9.01

Unit cell a=4.873 b=4.873 c=4.873 alpha=90.00 beta=90.00 gamma=90.00
Last column: magnetic moment on the atom in μB.
Sites, in units of the cell vectors:
Sb  0.000  0.000  0.000  -0.02
Rh  0.000  0.500  0.000  0.30
Rh  0.000  0.000  0.500  0.47
Rh  0.500  0.000  0.000  0.20
H  0.500  0.500  0.500  0.04